A relaxed structure of KWBr2. Source: the Alexandria database, functional PBE-GGA.

* ΔE to the lowest computed polymorph: 76 meV per atom
* formation energy without anion corrections: 101 kJ/mol of formula units
* magnetic moment: 0.00 μB per formula unit
* electronic total energy: -16.347 eV for the cell shown
* calculated volume: 24.11 Å³ per atom

```
KWBr2
1.0
1.688 0.974 9.774
-1.688 0.974 9.774
0.000 -1.949 9.774
K W Br
1 1 2
Cartesian
0.000 0.000 0.000
0.000 0.000 14.661
0.000 0.000 12.180
0.000 0.000 17.142
```